[1]
SmGeN2 | the Alexandria database | GGA-PBE | optimized geometry; space group = R-3m (166); ΔE_f (raw) = -0.38 eV per atom; magnetization = 0.0 Bohr magnetons per cell; Fermi-level density of states = 2.49 states/eV/cell
1.0
-1.087 2.013 2.945
-3.584 0.015 1.027
-0.559 -3.982 4.876
N Ge Sm
2 1 1
direct
0.100 0.100 0.701
0.900 0.900 0.299
0.000 0.000 0.000
0.500 0.500 0.500


[2]
Sm12Ge3N5 | the Alexandria database | GGA-PBE | optimized geometry; space group = Ia-3d (230); ΔE_f (raw) = -0.93 eV per atom; magnetization = 0.0 Bohr magnetons per cell; Fermi-level density of states = 45.13 states/eV/cell
1.0
13.570 0.000 0.000
-4.523 12.794 0.000
-4.523 -6.397 11.080
N Ge Sm
20 12 48
direct
0.125 0.375 0.250
0.500 0.000 0.000
0.500 0.500 0.000
0.500 0.500 0.500
0.500 0.000 0.500
0.375 0.125 0.750
0.875 0.250 0.625
0.000 0.000 0.000
0.250 0.875 0.125
0.000 0.500 0.000
0.750 0.125 0.875
0.625 0.875 0.250
0.000 0.000 0.500
0.625 0.750 0.875
0.250 0.375 0.625
0.375 0.250 0.125
0.000 0.500 0.500
0.125 0.750 0.375
0.875 0.625 0.750
0.750 0.625 0.375
0.250 0.625 0.875
0.375 0.625 0.250
0.625 0.250 0.375
0.625 0.375 0.750
0.250 0.125 0.375
0.750 0.375 0.125
0.875 0.750 0.125
0.125 0.875 0.750
0.125 0.250 0.875
0.375 0.750 0.625
0.750 0.875 0.625
0.875 0.125 0.250
0.884 0.587 0.904
0.703 0.587 0.183
0.980 0.384 0.297
0.596 0.980 0.683
0.087 0.183 0.203
0.384 0.980 0.797
0.616 0.020 0.203
0.317 0.797 0.413
0.596 0.616 0.413
0.020 0.616 0.703
0.817 0.913 0.297
0.297 0.413 0.817
0.587 0.703 0.683
0.480 0.797 0.884
0.480 0.683 0.096
0.020 0.404 0.817
0.116 0.703 0.520
0.884 0.297 0.480
0.116 0.413 0.096
0.913 0.096 0.616
0.520 0.203 0.116
0.404 0.384 0.587
0.980 0.596 0.183
0.520 0.317 0.904
0.616 0.596 0.913
0.797 0.317 0.913
0.297 0.884 0.980
0.203 0.683 0.087
0.817 0.904 0.020
0.904 0.087 0.884
0.703 0.116 0.020
0.913 0.817 0.797
0.183 0.096 0.980
0.904 0.817 0.520
0.183 0.087 0.703
0.096 0.183 0.480
0.413 0.297 0.317
0.683 0.480 0.596
0.096 0.913 0.116
0.413 0.116 0.596
0.384 0.404 0.087
0.203 0.520 0.616
0.317 0.520 0.404
0.797 0.480 0.384
0.404 0.020 0.317
0.587 0.884 0.404
0.683 0.203 0.587
0.087 0.904 0.384


[3]
Sm4Ge2N | the Alexandria database | GGA-PBE | optimized geometry; space group = Cmce (64); ΔE_f (raw) = -0.91 eV per atom; magnetization = 0.0 Bohr magnetons per cell; Fermi-level density of states = 7.53 states/eV/cell
1.0
6.138 0.000 -2.503
0.000 6.909 0.000
-0.185 0.000 8.324
Ge Sm N
4 8 2
direct
0.135 0.477 0.271
0.635 0.023 0.271
0.865 0.523 0.729
0.365 0.977 0.729
0.234 0.250 0.969
0.766 0.750 0.031
0.828 0.948 0.657
0.172 0.052 0.343
0.734 0.250 0.969
0.266 0.750 0.031
0.672 0.448 0.343
0.328 0.552 0.657
0.500 0.500 0.000
0.000 0.000 0.000


What is the formula in the third record?
Sm4Ge2N


Look up the Fermi-level density of states of the third one.
7.53 states/eV/cell


The highest ΔE_f (raw) belongs to which entry?
SmGeN2


Copy entry 1 word for word.
SmGeN2 | the Alexandria database | GGA-PBE | optimized geometry; space group = R-3m (166); ΔE_f (raw) = -0.38 eV per atom; magnetization = 0.0 Bohr magnetons per cell; Fermi-level density of states = 2.49 states/eV/cell
1.0
-1.087 2.013 2.945
-3.584 0.015 1.027
-0.559 -3.982 4.876
N Ge Sm
2 1 1
direct
0.100 0.100 0.701
0.900 0.900 0.299
0.000 0.000 0.000
0.500 0.500 0.500